Record 1
A geometry-optimized RbAg structure, computed with PBE-GGA.

Values from the calculation:
VASP energy (eV/cell): -3.5

a b c (Å): 5.193 5.193 5.193
angles (deg): 60.00 60.00 60.00
Positions (direct):
Ag (0.000, 0.000, 0.000)
Rb (0.500, 0.500, 0.500)

---

Record 2
A geometry-optimized RbAg5 structure, computed with PBE-GGA.

Values from the calculation:
VASP energy (eV/cell): -14.5

a b c (Å): 4.636 5.973 5.583
angles (deg): 90.06 90.00 90.00
Positions (direct):
Ag (0.500, 0.500, 0.000)
Ag (0.500, 0.257, 0.500)
Ag (0.500, 0.743, 0.500)
Ag (0.000, 0.500, 0.738)
Ag (0.000, 0.500, 0.262)
Rb (0.000, 0.000, 0.000)

---

Record 3
A geometry-optimized RbAg structure, computed with PBE-GGA.

Values from the calculation:
VASP energy (eV/cell): -19.9

a b c (Å): 10.016 10.016 10.016
angles (deg): 90.00 90.00 90.00
Positions (direct):
Rb (0.750, 0.500, 0.000)
Rb (0.500, 0.000, 0.250)
Ag (0.500, 0.750, 0.000)
Ag (0.500, 0.250, 0.000)
Ag (0.250, 0.000, 0.500)
Rb (0.000, 0.250, 0.500)
Rb (0.500, 0.000, 0.750)
Rb (0.250, 0.500, 0.000)
Ag (0.000, 0.500, 0.750)
Rb (0.000, 0.750, 0.500)
Ag (0.000, 0.500, 0.250)
Ag (0.750, 0.000, 0.500)

---

VASP energy of number 2 (RbAg5)? -14.5 eV/cell